# 1
Mn2BeIn: relaxed, PBE.

As for the polymorph energy (0 for the lowest one): 152 meV/atom. The total DFT energy (no corrections) comes out at -5.894 eV/atom. The energy of formation is 307 meV/atom.

It has space group Fm-3m (No. 225), with a = 6.1032 Å, b = 6.1032 Å, c = 6.1032 Å, α = 90.00°, β = 90.00° and γ = 90.00°. The distinct sites, in fractional coordinates, are Mn at (0.2500, 0.2500, 0.2500), Be at (0.0000, 0.0000, 0.0000) and In at (0.0000, 0.0000, 0.5000).


# 2
Sc2RhPb: relaxed, PBE.

The total DFT energy (no corrections) comes out at -6.464 eV/atom. The energy of formation is -533 meV/atom.

It has space group Immm (No. 71), with a = 4.1184 Å, b = 4.9509 Å, c = 8.0605 Å, α = 90.00°, β = 90.00° and γ = 90.00°. The distinct sites, in fractional coordinates, are Sc at (0.0000, 0.0000, 0.2190), Rh at (0.0000, 0.5000, 0.5000) and Pb at (0.0000, 0.5000, 0.0000).


# 3
Mg14InPb: relaxed, PBE.

The total DFT energy (no corrections) comes out at -1.823 eV/atom. The energy of formation is -24 meV/atom.

It has space group P4/mmm (No. 123), with a = 6.4258 Å, b = 6.4258 Å, c = 9.0542 Å, α = 90.00°, β = 90.00° and γ = 90.00°. The distinct sites, in fractional coordinates, are Mg at (0.0000, 0.0000, 0.0000), Mg at (0.0000, 0.5000, 0.0000), Mg at (0.0000, 0.5000, 0.5000), Mg at (0.2476, 0.2476, 0.2468), Mg at (0.5000, 0.5000, 0.0000), In at (0.0000, 0.0000, 0.5000) and Pb at (0.5000, 0.5000, 0.5000).


# 4
Na4Tl3Bi2: relaxed, PBE.

The total DFT energy (no corrections) comes out at -2.450 eV/atom. The energy of formation is -212 meV/atom.

It has space group P-1 (No. 2), with a = 5.1923 Å, b = 5.6235 Å, c = 10.3405 Å, α = 83.54°, β = 89.91° and γ = 62.55°. The distinct sites, in fractional coordinates, are Na at (0.0118, 0.4749, 0.3229), Na at (0.3405, 0.8181, 0.1123), Tl at (0.0000, 0.5000, 0.0000), Tl at (0.3396, 0.8200, 0.4463) and Bi at (0.3184, 0.8646, 0.7792).


# 5
OsPbCl2: relaxed, PBE.

As for the polymorph energy (0 for the lowest one): 207 meV/atom. The total DFT energy (no corrections) comes out at -4.339 eV/atom. As for the raw formation energy: 0.319 eV per atom.

It has space group R-3m (No. 166, hexagonal axes), with a = 3.1621 Å, b = 3.1621 Å, c = 29.2426 Å, α = 90.00°, β = 90.00° and γ = 120.00°. The distinct sites, in fractional coordinates, are Os at (0.0000, 0.0000, 0.0000), Pb at (0.0000, 0.0000, 0.5000) and Cl at (0.0000, 0.0000, 0.0771).


# 6
CuHg2Mo: relaxed, PBE.

As for the polymorph energy (0 for the lowest one): 94 meV/atom. The total DFT energy (no corrections) comes out at -3.384 eV/atom. The energy of formation is 498 meV/atom.

It has space group R-3m (No. 166, hexagonal axes), with a = 2.9826 Å, b = 2.9826 Å, c = 27.7474 Å, α = 90.00°, β = 90.00° and γ = 120.00°. The distinct sites, in fractional coordinates, are Cu at (0.0000, 0.0000, 0.0000), Hg at (0.0000, 0.0000, 0.2535) and Mo at (0.0000, 0.0000, 0.5000).


# 7
Si2AsPb2: relaxed, PBE.

As for the polymorph energy (0 for the lowest one): 0 meV/atom. The total DFT energy (no corrections) comes out at -4.298 eV/atom. As for the raw formation energy: 0.285 eV per atom.

It has space group I4/mmm (No. 139), with a = 3.5936 Å, b = 3.5936 Å, c = 18.2259 Å, α = 90.00°, β = 90.00° and γ = 90.00°. The distinct sites, in fractional coordinates, are Si at (0.0000, 0.5000, 0.2500), As at (0.0000, 0.0000, 0.0000) and Pb at (0.0000, 0.0000, 0.3979).


# 8
Be2CuTe: relaxed, PBE.

The total DFT energy (no corrections) comes out at -3.117 eV/atom. As for the raw formation energy: 0.556 eV per atom.

It has space group Cmmm (No. 65), with a = 4.9203 Å, b = 7.0214 Å, c = 3.4564 Å, α = 90.00°, β = 90.00° and γ = 90.00°. The distinct sites, in fractional coordinates, are Be at (0.2500, 0.2500, 0.0000), Cu at (0.0000, 0.0000, 0.5000) and Te at (0.0000, 0.5000, 0.5000).